[1]
Compound: CaGdTh2
Source: Alexandria via LeMat-Bulk
Functional: PBE
Structure: optimized geometry

Computed properties:
The energy of formation from the pure elements is 0.18 eV per atom. The calculation puts the calculated density at 8.2 g cm⁻³. The value obtained for the magnetic moment is 7.40 μB/cell.

Geometry as CIF:
```
data_CaGdTh2
_space_group_name_H-M_alt 'P 4/m m m'
_space_group_IT_number 123
_space_group_name_Hall '-P 4 2'
_cell_length_a 5.024
_cell_length_b 5.024
_cell_length_c 5.280
_cell_angle_alpha 90.00
_cell_angle_beta 90.00
_cell_angle_gamma 90.00
loop_
_atom_site_label
_atom_site_type_symbol
_atom_site_fract_x
_atom_site_fract_y
_atom_site_fract_z
Ca1 Ca 0.000 0.000 0.000
Gd1 Gd 0.500 0.500 0.000
Th1 Th 0.000 0.500 0.500
```

***

[2]
Compound: Pu6AsPd5
Source: Alexandria via LeMat-Bulk
Functional: PBE
Structure: optimized geometry

Computed properties:
The energy of formation from the pure elements is -0.48 eV per atom. The calculation puts the calculated density at 13.3 g cm⁻³. The value obtained for the magnetic moment is 68.37 μB/cell.

Geometry as CIF:
```
data_Pu6AsPd5
_space_group_name_H-M_alt 'I m m m'
_space_group_IT_number 71
_space_group_name_Hall '-I 2 2'
_cell_length_a 5.329
_cell_length_b 6.087
_cell_length_c 15.924
_cell_angle_alpha 90.00
_cell_angle_beta 90.00
_cell_angle_gamma 90.00
loop_
_atom_site_label
_atom_site_type_symbol
_atom_site_fract_x
_atom_site_fract_y
_atom_site_fract_z
Pu1 Pu 0.000 0.248 0.000
Pu2 Pu 0.000 0.251 0.335
As1 As 0.000 0.500 0.500
Pd1 Pd 0.000 0.000 0.171
Pd2 Pd 0.000 0.000 0.500
Pd3 Pd 0.000 0.500 0.169
```

***

[3]
Compound: SrInCu2
Source: Alexandria via LeMat-Bulk
Functional: PBE
Structure: optimized geometry

Computed properties:
The energy of formation from the pure elements is 0.05 eV per atom. The calculation puts the calculated density at 6.1 g cm⁻³. The value obtained for the magnetic moment is 0.00 μB/cell.

Geometry as CIF:
```
data_SrInCu2
_space_group_name_H-M_alt 'P 4/m m m'
_space_group_IT_number 123
_space_group_name_Hall '-P 4 2'
_cell_length_a 3.606
_cell_length_b 3.606
_cell_length_c 6.848
_cell_angle_alpha 90.00
_cell_angle_beta 90.00
_cell_angle_gamma 90.00
loop_
_atom_site_label
_atom_site_type_symbol
_atom_site_fract_x
_atom_site_fract_y
_atom_site_fract_z
Sr1 Sr 0.000 0.000 0.000
In1 In 0.000 0.000 0.500
Cu1 Cu 0.500 0.500 0.310
```

***

[4]
Compound: CdCu2W
Source: Alexandria via LeMat-Bulk
Functional: PBE
Structure: optimized geometry

Computed properties:
The energy of formation from the pure elements is 0.96 eV per atom. The calculation puts the calculated density at 10.6 g cm⁻³. The value obtained for the magnetic moment is 0.00 μB/cell.

Geometry as CIF:
```
data_CdCu2W
_space_group_name_H-M_alt 'I -4 2 d'
_space_group_IT_number 122
_space_group_name_Hall 'I -4 2bw'
_cell_length_a 6.893
_cell_length_b 6.893
_cell_length_c 5.605
_cell_angle_alpha 90.00
_cell_angle_beta 90.00
_cell_angle_gamma 90.00
loop_
_atom_site_label
_atom_site_type_symbol
_atom_site_fract_x
_atom_site_fract_y
_atom_site_fract_z
Cd1 Cd 0.000 0.000 0.000
Cu1 Cu 0.239 0.250 0.625
W1 W 0.000 0.000 0.500
```

***

[5]
Compound: Sr2Al4Cd3In
Source: Alexandria via LeMat-Bulk
Functional: PBE
Structure: optimized geometry

Computed properties:
The energy of formation from the pure elements is -0.20 eV per atom. The calculation puts the calculated density at 5.0 g cm⁻³. The value obtained for the magnetic moment is 0.00 μB/cell.

Geometry as CIF:
```
data_Sr2Al4Cd3In
_space_group_name_H-M_alt 'P -4 m 2'
_space_group_IT_number 115
_space_group_name_Hall 'P -4 -2'
_cell_length_a 4.542
_cell_length_b 4.542
_cell_length_c 11.944
_cell_angle_alpha 90.00
_cell_angle_beta 90.00
_cell_angle_gamma 90.00
loop_
_atom_site_label
_atom_site_type_symbol
_atom_site_fract_x
_atom_site_fract_y
_atom_site_fract_z
Sr1 Sr 0.000 0.500 0.249
Al1 Al 0.000 0.000 0.000
Al2 Al 0.000 0.500 0.641
Al3 Al 0.500 0.500 0.000
Cd1 Cd 0.000 0.500 0.864
Cd2 Cd 0.500 0.500 0.500
In1 In 0.000 0.000 0.500
```

***

[6]
Compound: LiCaGa2Co
Source: Alexandria via LeMat-Bulk
Functional: PBE
Structure: optimized geometry

Computed properties:
The energy of formation from the pure elements is -0.25 eV per atom. The calculation puts the calculated density at 4.2 g cm⁻³. The value obtained for the magnetic moment is 0.00 μB/cell.

Geometry as CIF:
```
data_LiCaGa2Co
_space_group_name_H-M_alt 'P 4/m m m'
_space_group_IT_number 123
_space_group_name_Hall '-P 4 2'
_cell_length_a 4.551
_cell_length_b 4.551
_cell_length_c 4.674
_cell_angle_alpha 90.00
_cell_angle_beta 90.00
_cell_angle_gamma 90.00
loop_
_atom_site_label
_atom_site_type_symbol
_atom_site_fract_x
_atom_site_fract_y
_atom_site_fract_z
Li1 Li 0.000 0.000 0.000
Ca1 Ca 0.500 0.500 0.000
Ga1 Ga 0.000 0.500 0.500
Co1 Co 0.000 0.000 0.500
```

***

[7]
Compound: TcSeBrN2
Source: Alexandria via LeMat-Bulk
Functional: PBE
Structure: optimized geometry

Computed properties:
The excess energy over the best structure of this formula in the dataset is 0.00 eV per formula unit. The calculation puts the calculated density at 5.7 g cm⁻³. The calculation puts the uncorrected formation energy at 0.659 eV per atom. The value obtained for the magnetic moment is 0.00 μB/cell.

Geometry as CIF:
```
data_TcSeBrN2
_space_group_name_H-M_alt 'P 4/m m m'
_space_group_IT_number 123
_space_group_name_Hall '-P 4 2'
_cell_length_a 3.861
_cell_length_b 3.861
_cell_length_c 5.573
_cell_angle_alpha 90.00
_cell_angle_beta 90.00
_cell_angle_gamma 90.00
loop_
_atom_site_label
_atom_site_type_symbol
_atom_site_fract_x
_atom_site_fract_y
_atom_site_fract_z
Tc1 Tc 0.000 0.000 0.000
Se1 Se 0.000 0.000 0.500
Br1 Br 0.500 0.500 0.500
N1 N 0.000 0.500 0.000
```

***

[8]
Compound: Zr3Au
Source: Alexandria via LeMat-Bulk
Functional: PBE
Structure: optimized geometry

Computed properties:
The energy of formation from the pure elements is -0.24 eV per atom. The calculation puts the calculated density at 8.9 g cm⁻³. The value obtained for the magnetic moment is 0.00 μB/cell.

Geometry as CIF:
```
data_Zr3Au
_space_group_name_H-M_alt 'P n m a'
_space_group_IT_number 62
_space_group_name_Hall '-P 2ac 2n'
_cell_length_a 5.885
_cell_length_b 9.840
_cell_length_c 6.071
_cell_angle_alpha 90.00
_cell_angle_beta 90.00
_cell_angle_gamma 90.00
loop_
_atom_site_label
_atom_site_type_symbol
_atom_site_fract_x
_atom_site_fract_y
_atom_site_fract_z
Zr1 Zr 0.014 0.250 0.159
Zr2 Zr 0.230 0.034 0.620
Au1 Au 0.103 0.750 0.379
```

***

[9]
Compound: Ti5Sn2Ge2
Source: Alexandria via LeMat-Bulk
Functional: PBE
Structure: optimized geometry

Computed properties:
The energy of formation from the pure elements is -0.49 eV per atom. The calculation puts the calculated density at 6.3 g cm⁻³. The value obtained for the magnetic moment is 0.00 μB/cell.

Geometry as CIF:
```
data_Ti5Sn2Ge2
_space_group_name_H-M_alt 'C m c e'
_space_group_IT_number 64
_space_group_name_Hall '-C 2ac 2'
_cell_length_a 13.652
_cell_length_b 7.001
_cell_length_c 6.881
_cell_angle_alpha 90.00
_cell_angle_beta 90.00
_cell_angle_gamma 90.00
loop_
_atom_site_label
_atom_site_type_symbol
_atom_site_fract_x
_atom_site_fract_y
_atom_site_fract_z
Ti1 Ti 0.000 0.000 0.000
Ti2 Ti 0.122 0.164 0.332
Sn1 Sn 0.213 0.000 0.000
Ge1 Ge 0.000 0.135 0.633
```

***

[10]
Compound: La3PdI
Source: Alexandria via LeMat-Bulk
Functional: PBE
Structure: optimized geometry

Computed properties:
The excess energy over the best structure of this formula in the dataset is 0.00 eV per formula unit. The calculation puts the calculated density at 5.6 g cm⁻³. The calculation puts the uncorrected formation energy at -0.342 eV per atom. The value obtained for the magnetic moment is 0.00 μB/cell.

Geometry as CIF:
```
data_La3PdI
_space_group_name_H-M_alt 'P m -3 m'
_space_group_IT_number 221
_space_group_name_Hall '-P 4 2 3'
_cell_length_a 5.764
_cell_length_b 5.764
_cell_length_c 5.764
_cell_angle_alpha 90.00
_cell_angle_beta 90.00
_cell_angle_gamma 90.00
loop_
_atom_site_label
_atom_site_type_symbol
_atom_site_fract_x
_atom_site_fract_y
_atom_site_fract_z
La1 La 0.000 0.000 0.500
Pd1 Pd 0.000 0.000 0.000
I1 I 0.500 0.500 0.500
```

***

[11]
Compound: LaVSe3
Source: Alexandria via LeMat-Bulk
Functional: PBE
Structure: optimized geometry

Computed properties:
The excess energy over the best structure of this formula in the dataset is 1.11 eV per formula unit. The calculation puts the calculated density at 5.9 g cm⁻³. The calculation puts the uncorrected formation energy at -1.053 eV per atom. The value obtained for the magnetic moment is 1.94 μB/cell.

Geometry as CIF:
```
data_LaVSe3
_space_group_name_H-M_alt 'P m -3 m'
_space_group_IT_number 221
_space_group_name_Hall '-P 4 2 3'
_cell_length_a 4.922
_cell_length_b 4.922
_cell_length_c 4.922
_cell_angle_alpha 90.00
_cell_angle_beta 90.00
_cell_angle_gamma 90.00
loop_
_atom_site_label
_atom_site_type_symbol
_atom_site_fract_x
_atom_site_fract_y
_atom_site_fract_z
La1 La 0.000 0.000 0.000
V1 V 0.500 0.500 0.500
Se1 Se 0.000 0.500 0.500
```